Computed, not measured: a relaxed Ba7HgSb2O2 crystal at the PBE level of DFT.

Results
The density of states at the Fermi level comes out at 0.462 states/eV per atom. Its uncorrected formation energy is -1.336 eV per atom.

Lattice parameters (Å, degrees): 5.3514 5.3514 30.3544 90.00 90.00 90.00
Space group I4/mmm (No. 139)
Unique sites:
Ba  0.0000  0.0000  0.0000 [2 per cell]
Ba  0.0000  0.0000  0.2036 [4 per cell]
Ba  0.0000  0.5000  0.0985 [8 per cell]
Hg  0.0000  0.0000  0.5000 [2 per cell]
Sb  0.0000  0.0000  0.3191 [4 per cell]
O  0.0000  0.0000  0.0937 [4 per cell]